FeCuN2F after structural relaxation, computed with PBE with a Hubbard U.

Cell lengths 3.7861, 3.7861, 3.9761 Å; angles 90.00, 90.00, 90.00 degrees
Space group P4/mmm (No. 123)
Inequivalent atoms, fractional coordinates:
1 Fe 0.0000 0.0000 0.0000
2 Cu 0.5000 0.5000 0.5000
3 N 0.0000 0.5000 0.0000
4 F 0.0000 0.0000 0.5000

Values from the calculation:
* M_tot: 0.503 μB/atom
* distance to the lowest polymorph of the same formula: 0.0 meV/atom
* uncorrected energy: -4.95 eV per atom